First-principles (PBE-GGA) data for a relaxed Re2PPd crystal, as listed in Alexandria via LeMat-Bulk.

Cell lengths 5.5444, 5.5444, 10.5411 Å; angles 90.00, 90.00, 90.00 degrees
Space group I-42d (No. 122)
One atom of each set of equivalent atoms:
Re 0.2228 0.2500 0.1250
P 0.0000 0.0000 0.0000
Pd 0.0000 0.0000 0.5000

Computed properties:
Total moment, μB per cell: 0.00
Formation energy from the elements, eV/atom: 1.11
Energy, eV/atom: -7.76